A geometry-optimized NbAl2Cr structure. Source: Alexandria, functional GGA-PBE.

Properties
- Theoretical density: 5.1 g/cm3
- DOS at the Fermi energy: 3.8 states/eV/f.u.
- Distance to the lowest polymorph of the same formula: 178 kJ/mol of formula units
- Space-group type: R-3m
- Energy of formation from the pure elements: 0.2957 eV per atom

Cell: 2.7898 2.7898 9.7328 Å, 81.76 81.76 60.00°
Sites, in units of the cell vectors:
1 Cr 0.5000 0.5000 0.5000
2 Al 0.0959 0.0959 0.7124
3 Nb 0.0000 0.0000 0.0000
4 Al 0.9041 0.9041 0.2876